# 1
11
Lattice="-3.203 1.720 -1.291 -3.267 -3.252 3.771 -0.934 3.343 6.770" Properties=species:S:1:pos:R:3 comment="CsCu2F8 | Alexandria | PBE | relaxed" energy_ev_per_cell=-40.05 spacegroup="No. 65" e_form_raw_ev_per_atom=-1.457 pbc="T T T"
Cs -1.602 0.860 -0.646
Cu -4.497 2.507 2.966
Cu -2.907 -0.695 6.284
F -0.543 0.823 2.443
F -5.128 2.714 4.806
F -3.461 2.197 8.296
F -4.511 0.150 5.624
F -2.893 1.662 3.626
F -3.943 -0.385 0.955
F -2.276 -0.903 4.444
F -6.861 0.989 6.807


# 2
10
Lattice="3.391 0.000 0.000 0.000 3.391 0.000 0.000 0.000 11.548" Properties=species:S:1:pos:R:3 comment="Ti2VGaN | Alexandria | PBE | relaxed" energy_ev_per_cell=-79.83 spacegroup="No. 129" e_form_raw_ev_per_atom=-0.731 pbc="T T T"
Ti 0.000 1.695 8.601
Ti 0.000 1.695 0.991
Ti 1.695 0.000 10.557
Ti 1.695 0.000 2.947
V 0.000 0.000 5.774
V 1.695 1.695 5.774
Ga 1.695 0.000 7.749
Ga 0.000 1.695 3.799
N 1.695 0.000 0.999
N 0.000 1.695 10.549


# 3
4
Lattice="4.152 0.000 0.000 0.000 4.153 0.000 0.000 0.000 2.920" Properties=species:S:1:pos:R:3 comment="AlFe2W | Alexandria | PBE | relaxed" formation_enthalpy_0k_mev_per_atom=-139 energy_ev_per_cell=-34.18 spacegroup="No. 123" pbc="T T T"
Fe 0.000 0.000 0.000
Fe 2.076 2.076 0.000
W 2.076 0.000 1.460
Al 0.000 2.076 1.460


# 4
4
Lattice="-2.390 -0.769 2.342 -2.090 -1.098 -2.493 3.265 -7.891 0.739" Properties=species:S:1:pos:R:3 comment="CeNdTlRu | Alexandria | PBE | relaxed" formation_enthalpy_0k_mev_per_atom=-303 energy_ev_per_cell=-23.55 spacegroup="No. 99" pbc="T T T"
Ce -1.031 -3.855 0.198
Nd 0.302 -7.077 0.500
Tl 0.248 -0.598 0.056
Ru 1.829 -4.420 0.414


# 5
4
Lattice="-0.604 -2.787 0.282 3.117 -0.318 3.524 -3.333 1.030 3.041" Properties=species:S:1:pos:R:3 comment="ReRh2Br | Alexandria | PBE | relaxed" energy_ev_per_cell=-25.24 spacegroup="No. 47" e_form_raw_ev_per_atom=0.897 pbc="T T T"
Re -0.108 0.356 3.283
Rh 0.000 0.000 0.000
Rh 1.257 -1.553 1.903
Br -1.968 -0.878 1.662


# 6
5
Lattice="-2.585 -4.193 -2.690 4.885 -2.727 -0.445 -0.975 -2.547 4.906" Properties=species:S:1:pos:R:3 comment="AlSI3 | Alexandria | PBE | relaxed" energy_ev_per_cell=-11.16 spacegroup="No. 221" e_form_raw_ev_per_atom=0.272 pbc="T T T"
I 2.443 -1.363 -0.223
I -0.487 -1.273 2.453
I -1.293 -2.096 -1.345
S 0.000 0.000 0.000
Al 0.663 -4.733 0.885


# 7
19
Lattice="7.783 0.000 2.495 -3.926 7.557 3.323 -0.070 0.000 9.141" Properties=species:S:1:pos:R:3 comment="RbMg6Tl12 | Alexandria | PBE | relaxed" formation_enthalpy_0k_mev_per_atom=4 energy_ev_per_cell=-38.86 spacegroup="No. 148" pbc="T T T"
Rb 0.000 0.000 0.000
Mg 1.553 3.650 4.773
Mg -2.522 5.351 7.173
Mg -0.526 5.856 9.870
Mg 2.234 3.907 10.185
Mg 6.309 2.206 7.786
Mg 4.313 1.701 5.088
Tl 0.545 6.504 6.763
Tl 1.629 6.428 12.306
Tl 4.998 2.182 10.719
Tl 3.242 1.053 8.195
Tl 2.158 1.129 2.653
Tl -1.211 5.375 4.240
Tl 0.225 3.453 7.777
Tl -0.571 2.929 2.228
Tl 1.185 0.524 5.673
Tl 3.562 4.104 7.182
Tl 4.358 4.627 12.731
Tl 2.602 7.033 9.285


# 8
9
Lattice="5.686 0.000 0.000 0.000 5.686 0.000 -2.843 -2.843 5.441" Properties=species:S:1:pos:R:3 comment="CeDy4N4 | Alexandria | PBE | relaxed" energy_ev_per_cell=-64.93 spacegroup="No. 121" e_form_raw_ev_per_atom=-0.810 pbc="T T T"
Ce 0.000 0.000 0.000
Dy 2.843 0.000 0.000
Dy 0.000 2.843 0.000
Dy 0.000 0.000 3.070
Dy 2.843 2.843 2.371
N 1.471 1.471 4.112
N 1.372 4.314 1.329
N -1.471 -1.471 4.112
N 4.314 1.372 1.329


# 9
9
Lattice="-1.454 -3.881 -0.787 3.726 -1.057 -1.671 3.050 -2.893 8.632" Properties=species:S:1:pos:R:3 comment="TbGa5Ni2Pt | Alexandria | PBE | relaxed" formation_enthalpy_0k_mev_per_atom=-321 energy_ev_per_cell=-40.26 spacegroup="No. 123" pbc="T T T"
Tb 1.525 -1.446 4.316
Ga 2.357 -0.997 0.564
Ga -0.232 -2.409 1.006
Ga 4.418 -2.952 6.398
Ga 1.829 -4.364 6.839
Ga 2.661 -3.915 3.087
Ni 1.966 -3.256 1.119
Ni 3.357 -4.575 5.056
Pt 0.000 0.000 0.000


# 10
4
Lattice="3.134 0.000 0.000 0.000 3.135 0.000 0.000 0.000 9.682" Properties=species:S:1:pos:R:3 comment="IrSeBr2 | Alexandria | PBE | relaxed" energy_ev_per_cell=-12.10 spacegroup="No. 123" e_form_raw_ev_per_atom=0.898 pbc="T T T"
Br 0.000 0.000 0.795
Br 0.000 0.000 4.046
Ir 1.567 1.568 2.421
Se 1.567 1.568 7.262


# 11
3
Lattice="3.489 0.000 0.000 0.000 3.489 0.000 -1.745 -1.745 4.776" Properties=species:S:1:pos:R:3 comment="NpPaV | Alexandria | PBE | relaxed" formation_enthalpy_0k_mev_per_atom=253 energy_ev_per_cell=-30.80 spacegroup="No. 107" pbc="T T T"
Np 1.745 1.745 1.591
Pa 0.000 0.000 0.064
V 0.000 0.000 3.121


# 12
5
Lattice="5.367 0.000 0.000 0.000 6.028 0.000 0.000 0.000 5.367" Properties=species:S:1:pos:R:3 comment="LaScTiS2 | Alexandria | PBE | relaxed" energy_ev_per_cell=-24.84 spacegroup="No. 123" e_form_raw_ev_per_atom=0.513 pbc="T T T"
Sc 0.000 3.014 0.000
S 0.000 0.000 2.684
S 2.684 0.000 0.000
Ti 2.684 3.014 2.684
La 0.000 0.000 0.000


# 13
4
Lattice="-0.328 3.689 1.841 -0.593 0.226 4.087 6.679 1.424 2.984" Properties=species:S:1:pos:R:3 comment="Sc2SnTe | Alexandria | PBE | relaxed" energy_ev_per_cell=-22.97 spacegroup="No. 160" e_form_raw_ev_per_atom=-0.791 pbc="T T T"
Sc 5.045 1.396 2.748
Sc 1.325 1.333 2.211
Sn 6.022 4.034 6.929
Te 2.923 2.670 4.462


# 14
7
Lattice="0.094 -0.063 -3.744 5.364 0.359 0.125 -2.136 -8.993 1.966" Properties=species:S:1:pos:R:3 comment="Tl3H2Br2 | Alexandria | PBE | relaxed" energy_ev_per_cell=-18.29 spacegroup="No. 2" pbc="T T T"
Tl 0.000 0.000 0.000
Tl 0.427 -6.384 0.115
Tl 2.895 -2.313 -1.768
H -0.842 -8.939 0.114
H 4.163 0.241 -1.767
Br 0.206 -3.087 0.052
Br 3.116 -5.611 -1.705


# 15
22
Lattice="9.811 -2.419 2.079 -5.653 8.378 -2.080 2.388 -1.661 12.255" Properties=species:S:1:pos:R:3 comment="Tb3Nd7Sm | Alexandria | PBE | relaxed" formation_enthalpy_0k_mev_per_atom=176 energy_ev_per_cell=-100.09 spacegroup="No. 15" pbc="T T T"
Tb 1.327 3.493 8.808
Tb -5.653 8.378 -2.080
Tb 1.195 -0.830 6.127
Tb 0.148 4.351 2.680
Tb 6.397 -0.052 9.573
Tb 5.218 0.805 3.446
Nd -2.605 6.295 1.344
Nd -1.456 5.402 7.472
Nd -0.281 2.429 5.784
Nd -1.481 3.266 -0.334
Nd 0.591 6.222 -0.344
Nd 1.778 5.393 5.792
Nd 2.894 0.333 9.191
Nd 3.651 3.965 3.063
Nd 5.955 -1.924 12.596
Nd 4.768 -1.095 6.461
Nd 8.026 1.032 12.588
Nd 6.827 1.870 6.469
Nd 8.001 -1.104 4.782
Nd 9.151 -1.997 10.908
Sm 4.467 1.319 12.254
Sm 3.273 2.150 6.128


# 16
10
Lattice="3.717 0.000 0.000 0.000 7.933 -0.020 0.000 0.049 7.933" Properties=species:S:1:pos:R:3 comment="Tb3Dy3Cu4 | Alexandria | PBE | relaxed" formation_enthalpy_0k_mev_per_atom=-156 energy_ev_per_cell=-45.65 spacegroup="No. 38" pbc="T T T"
Tb 1.859 6.642 1.282
Tb 1.859 2.668 2.661
Tb 1.859 5.298 5.268
Dy 0.000 3.965 0.002
Dy 0.000 7.946 3.948
Dy 1.859 1.357 6.613
Cu 0.000 4.950 2.989
Cu 0.000 3.025 4.931
Cu 0.000 7.022 6.940
Cu 0.000 0.981 0.952


# 17
11
Lattice="7.069 -0.003 -0.634 0.003 7.323 0.003 -1.074 -0.002 7.015" Properties=species:S:1:pos:R:3 comment="Nd7Bi2Rh2 | Alexandria | PBE | relaxed" formation_enthalpy_0k_mev_per_atom=-464 energy_ev_per_cell=-60.94 spacegroup="No. 65" pbc="T T T"
Nd 6.533 1.803 2.874
Nd 2.463 5.511 6.701
Nd -0.534 5.514 3.510
Nd 3.535 1.806 -0.316
Nd 0.000 0.000 0.000
Nd 3.000 5.622 3.193
Nd 2.998 1.696 3.191
Bi 4.831 3.657 5.141
Bi 1.168 3.660 1.243
Rh 4.824 7.320 1.481
Rh 1.175 -0.003 4.903